SnBF2 | PBE-GGA | relaxed

The structure in extended XYZ format:
```
8
Lattice="0.000 3.948 3.948 3.948 0.000 3.948 3.948 3.948 0.000" Properties=species:S:1:pos:R:3 pbc="T T T"
Sn 5.922 5.922 5.922
Sn 3.948 3.948 3.948
B 1.974 1.974 1.974
B 0.000 0.000 0.000
F 2.961 0.987 2.961
F 0.987 2.961 2.961
F 0.987 0.987 0.987
F 2.961 2.961 0.987
```

## Properties
- Formation energy without anion corrections: -0.356 eV per atom
- V: 123.1 Å³/cell
- Relative energy among the computed polymorphs: 497.0 meV per atom

B2SeN2 | PBE-GGA | relaxed

The structure in extended XYZ format:
```
5
Lattice="2.743 0.000 0.000 0.000 2.743 0.000 1.371 1.371 9.475" Properties=species:S:1:pos:R:3 pbc="T T T"
B 2.743 1.371 4.737
B 1.371 2.743 4.737
Se 0.000 0.000 0.000
N 1.371 1.371 3.971
N 2.743 2.743 5.504
```

## Properties
- Formation energy without anion corrections: -0.084 eV per atom
- V: 71.3 Å³/cell
- Relative energy among the computed polymorphs: 151.6 meV per atom

CeDyPd | PBE-GGA | relaxed

The structure in extended XYZ format:
```
3
Lattice="-3.312 0.467 1.558 -0.803 -4.730 -0.289 2.099 1.847 3.910" Properties=species:S:1:pos:R:3 pbc="T T T"
Pd -0.033 -0.181 3.058
Ce -0.113 0.016 0.053
Dy -1.871 -2.251 2.068
```

## Properties
- V: 73.8 Å³/cell
- Relative energy among the computed polymorphs: 145.5 meV per atom

Li2Sn3Se4 | PBE-GGA | relaxed

The structure in extended XYZ format:
```
18
Lattice="-4.911 -4.052 1.564 0.763 -4.906 -7.010 5.077 -6.441 2.555" Properties=species:S:1:pos:R:3 pbc="T T T"
Li -1.830 -5.534 -1.590
Li -0.817 -11.492 -3.003
Li 2.759 -9.865 -1.300
Li 1.746 -3.907 0.113
Sn 4.813 -8.024 0.794
Sn 1.692 -6.460 2.453
Sn -3.884 -7.375 -3.685
Sn -0.763 -8.939 -5.343
Sn -0.225 -8.904 0.140
Sn 1.154 -6.495 -3.031
Se 2.372 -9.519 1.239
Se -1.083 -8.908 2.895
Se -1.442 -5.880 -4.130
Se 2.012 -6.491 -5.786
Se -3.243 -7.621 -0.923
Se 0.863 -9.501 -3.077
Se 4.172 -7.779 -1.967
Se 0.066 -5.898 0.187
```

## Properties
- Formation energy without anion corrections: -0.619 eV per atom
- V: 466.7 Å³/cell